Run w
Entry from the Alexandria database: a relaxed CuReAu2 crystal (PBEsol).

Structure (POSCAR):
```
CuReAu2
1.0
2.6918 0.0000 0.0000
-1.3459 4.5891 -0.0039
0.0000 -0.7795 4.8701
Re Au Cu
1 2 1
direct
0.7566 0.5131 0.2489
0.0056 0.0111 0.0209
0.2436 0.4872 0.7328
0.4943 0.9886 0.4975
```

Properties
- Crystal system: monoclinic
- Total magnetic moment: 0.00 μB per formula unit
- Space group: No. 8

=====

Run x
Entry from the Alexandria database: a relaxed CuReAu2 crystal (PBEsol).

Structure (POSCAR):
```
CuReAu2
1.0
2.6815 0.0000 0.0000
-1.3408 4.5578 0.0047
0.0000 -0.7108 4.9306
Cu Au Re
1 2 1
direct
0.0000 0.0000 0.5000
0.2487 0.4975 0.2511
0.7513 0.5025 0.7489
0.5000 0.0000 0.0000
```

Properties
- Crystal system: monoclinic
- Total magnetic moment: 0.00 μB per formula unit
- Space group: No. 12

=====

Q: What are the energies relative to the best structure? A: run w 0; run x 73, in meV/atom.

=====

Run w
Entry from the Alexandria database: a relaxed CuRu2Au crystal (PBEsol).

Structure (POSCAR):
```
CuRu2Au
1.0
-0.1691 0.3065 -2.6522
4.4704 -0.8947 -0.1620
-0.9192 -4.5090 -0.4625
Au Ru Cu
1 2 1
direct
0.0000 0.5000 0.5000
0.7375 0.7653 0.0000
0.2625 0.2347 0.0000
0.5000 0.0000 0.5000
```

Properties
- Crystal system: monoclinic
- Total magnetic moment: 0.00 μB per formula unit
- Space group: No. 10

=====

Run x
Entry from the Alexandria database: a relaxed CuRu2Au crystal (PBEsol).

Structure (POSCAR):
```
CuRu2Au
1.0
2.6632 0.0224 0.0000
-0.1883 4.5336 0.0000
-1.2375 -2.2780 4.6776
Au Ru Cu
1 2 1
direct
0.5000 0.0000 0.0000
0.0000 0.0000 0.5000
0.5000 0.5000 0.5000
0.0000 0.5000 0.0000
```

Properties
- Crystal system: monoclinic
- Total magnetic moment: 0.00 μB per formula unit
- Space group: No. 12

=====

Q: What are the energies relative to the best structure? A: run w 0; run x 14, in meV/atom.

=====

Run w
Entry from the Alexandria database: a relaxed SrCuAu2 crystal (PBEsol).

Structure (POSCAR):
```
SrCuAu2
1.0
3.4060 0.0000 0.0000
0.0000 3.4060 0.0000
0.0000 0.0000 6.8132
Au Cu Sr
2 1 1
direct
0.0000 0.0000 0.8024
0.0000 0.0000 0.1976
0.5000 0.5000 0.0000
0.5000 0.5000 0.5000
```

Properties
- Crystal system: tetragonal
- Total magnetic moment: 0.00 μB per formula unit
- Space group: No. 123

=====

Run x
Entry from the Alexandria database: a relaxed SrCuAu2 crystal (PBEsol).

Structure (POSCAR):
```
SrCuAu2
1.0
4.4245 0.0000 0.0000
2.2123 3.8317 0.0000
2.2123 1.2772 5.2005
Au Sr Cu
2 1 1
direct
0.2955 0.2955 0.1135
0.7045 0.7045 0.8865
0.5000 0.5000 0.5000
0.0000 0.0000 0.0000
```

Properties
- Crystal system: trigonal
- Total magnetic moment: 0.00 μB per formula unit
- Space group: No. 166

=====

Q: What are the energies relative to the best structure? A: run w 150; run x 0, in meV/atom.

=====

Run w
Entry from the Alexandria database: a relaxed CuTc2Au crystal (PBEsol).

Structure (POSCAR):
```
CuTc2Au
1.0
4.3115 0.0000 0.0000
2.1558 3.7339 0.0000
2.1558 1.2446 3.5203
Au Cu Tc
1 1 2
direct
0.0000 0.0000 0.0000
0.5000 0.5000 0.5000
0.7500 0.7500 0.7500
0.2500 0.2500 0.2500
```

Properties
- Crystal system: cubic
- Total magnetic moment: 0.00 μB per formula unit
- Space group: No. 225

=====

Run x
Entry from the Alexandria database: a relaxed CuTc2Au crystal (PBEsol).

Structure (POSCAR):
```
CuTc2Au
1.0
-0.6216 -0.8469 2.5507
3.6398 -0.5411 0.7074
0.4349 5.1908 1.7328
Tc Cu Au
2 1 1
direct
0.0290 0.0000 0.0122
0.4712 0.5000 0.2205
0.5033 0.5000 0.7513
0.9965 0.0000 0.5160
```

Properties
- Crystal system: monoclinic
- Total magnetic moment: 0.00 μB per formula unit
- Space group: No. 6

=====

Run y
Entry from the Alexandria database: a relaxed CuTc2Au crystal (PBEsol).

Structure (POSCAR):
```
CuTc2Au
1.0
-1.0571 -0.8362 2.3298
-1.5352 -2.2100 0.0651
6.4619 -6.0598 2.3119
Cu Tc Au
1 2 1
direct
0.0000 0.0000 0.0000
0.7455 0.7455 0.7636
0.2545 0.2545 0.2364
0.5000 0.5000 0.5000
```

Properties
- Crystal system: trigonal
- Total magnetic moment: 0.00 μB per formula unit
- Space group: No. 166

=====

Q: What are the energies relative to the best structure? A: run w 401; run x 0; run y 176, in meV/atom.

=====

Run w
Entry from the Alexandria database: a relaxed CuTc2Au crystal (PBEsol).

Structure (POSCAR):
```
CuTc2Au
1.0
-1.4037 0.1591 2.3400
-3.4415 -0.8111 -2.0093
0.7238 -4.9863 0.7731
Tc Au Cu
2 1 1
direct
0.0000 0.0000 0.2780
0.0000 0.0000 0.7220
0.5000 0.5000 0.0000
0.5000 0.5000 0.5000
```

Properties
- Crystal system: orthorhombic
- Total magnetic moment: 0.00 μB per formula unit
- Space group: No. 47

=====

Run x
Entry from the Alexandria database: a relaxed CuTc2Au crystal (PBEsol).

Structure (POSCAR):
```
CuTc2Au
1.0
-0.7307 2.3711 1.1350
-2.0854 0.0860 1.7572
4.6422 -0.6663 7.6601
Cu Tc Au
1 2 1
direct
0.2523 0.2523 0.2430
0.7441 0.7441 0.7678
0.0008 0.0008 0.9977
0.5028 0.5028 0.4915
```

Properties
- Crystal system: trigonal
- Total magnetic moment: 0.00 μB per formula unit
- Space group: No. 160

=====

Q: What are the energies relative to the best structure? A: run w 167; run x 0, in meV/atom.

=====

Run w
Entry from the Alexandria database: a relaxed CuTcAu2 crystal (PBEsol).

Structure (POSCAR):
```
CuTcAu2
1.0
2.7774 0.0000 0.0000
1.3887 2.4053 0.0000
1.3887 0.8018 8.8850
Au Tc Cu
2 1 1
direct
0.7527 0.7527 0.7419
0.2473 0.2473 0.2581
0.0000 0.0000 0.0000
0.5000 0.5000 0.5000
```

Properties
- Crystal system: trigonal
- Total magnetic moment: 0.00 μB per formula unit
- Space group: No. 166

=====

Run x
Entry from the Alexandria database: a relaxed CuTcAu2 crystal (PBEsol).

Structure (POSCAR):
```
CuTcAu2
1.0
2.6471 0.0000 0.0000
0.0000 4.8847 -0.0420
0.0000 -1.6221 4.6517
Cu Tc Au
1 1 2
direct
0.5000 0.5000 0.0000
0.0000 0.5000 0.5000
0.0000 0.0000 0.0000
0.5000 0.0000 0.5000
```

Properties
- Crystal system: monoclinic
- Total magnetic moment: 0.00 μB per formula unit
- Space group: No. 10

=====

Q: What are the energies relative to the best structure? A: run w 0; run x 131, in meV/atom.

=====

Run w
Entry from the Alexandria database: a relaxed TlCuAu2 crystal (PBEsol).

Structure (POSCAR):
```
TlCuAu2
1.0
3.1494 0.0000 0.0000
0.0000 3.1494 0.0000
0.0000 0.0000 7.1303
Cu Au Tl
1 2 1
direct
0.5000 0.5000 0.0000
0.0000 0.0000 0.7980
0.0000 0.0000 0.2020
0.5000 0.5000 0.5000
```

Properties
- Crystal system: tetragonal
- Total magnetic moment: 0.00 μB per formula unit
- Space group: No. 123

=====

Run x
Entry from the Alexandria database: a relaxed TlCuAu2 crystal (PBEsol).

Structure (POSCAR):
```
TlCuAu2
1.0
-3.6236 1.7507 -0.5744
-1.5952 -3.6151 -0.9551
1.6606 0.2882 4.7870
Cu Au Tl
1 2 1
direct
0.5000 0.5000 0.0000
0.0000 0.0000 0.0000
0.7500 0.2500 0.5000
0.2500 0.7500 0.5000
```

Properties
- Crystal system: tetragonal
- Total magnetic moment: 0.00 μB per formula unit
- Space group: No. 119

=====

Q: What are the energies relative to the best structure? A: run w 0; run x 60, in meV/atom.